Ba2BeI PBEsol optimized geometry; SG = No. 122; formation energy (no corrections) = -0.124 eV per atom; density of states at the Fermi level = 3.72 states/eV/f.u.
1.0
8.631 0.000 0.000
0.000 8.631 0.000
0.000 0.000 8.929
Ba Be I
8 4 4
direct
0.216 0.250 0.125
0.250 0.716 0.375
0.250 0.784 0.875
0.284 0.250 0.625
0.716 0.750 0.625
0.750 0.216 0.875
0.750 0.284 0.375
0.784 0.750 0.125
0.000 0.000 0.000
0.000 0.500 0.250
0.500 0.000 0.750
0.500 0.500 0.500
0.000 0.000 0.500
0.000 0.500 0.750
0.500 0.000 0.250
0.500 0.500 0.000

***

BaBeIN2 PBEsol optimized geometry; SG = No. 123; formation energy (no corrections) = 1.753 eV per atom; density of states at the Fermi level = 3.03 states/eV/f.u.
1.0
5.114 0.000 0.000
0.000 5.114 0.000
0.000 0.000 6.878
Ba Be I N
1 1 1 2
direct
0.000 0.000 0.000
0.500 0.500 0.500
0.000 0.000 0.500
0.000 0.500 0.000
0.500 0.000 0.000

***

Ba2BeOsI PBEsol optimized geometry; SG = No. 123; formation energy (no corrections) = 0.748 eV per atom; density of states at the Fermi level = 7.00 states/eV/f.u.
1.0
5.957 0.000 0.000
0.000 5.957 0.000
0.000 0.000 5.089
Ba Be Os I
2 1 1 1
direct
0.000 0.500 0.000
0.500 0.000 0.000
0.000 0.000 0.500
0.500 0.500 0.000
0.500 0.500 0.500

***

BaBeSi2I PBEsol optimized geometry; SG = No. 123; formation energy (no corrections) = 0.058 eV per atom; density of states at the Fermi level = 2.61 states/eV/f.u.
1.0
4.526 0.000 0.000
0.000 4.526 0.000
0.000 0.000 6.439
Ba Be Si I
1 1 2 1
direct
0.000 0.000 0.000
0.000 0.000 0.500
0.000 0.500 0.500
0.500 0.000 0.500
0.500 0.500 0.000

***

BaBeIn PBEsol optimized geometry; SG = No. 216; E_form = 851 meV/atom; density of states at the Fermi level = 3.35 states/eV/f.u.
1.0
7.447 0.000 0.000
0.000 7.447 0.000
0.000 0.000 7.447
Ba Be In
4 4 4
direct
0.000 0.000 0.000
0.000 0.500 0.500
0.500 0.000 0.500
0.500 0.500 0.000
0.250 0.250 0.250
0.250 0.750 0.750
0.750 0.250 0.750
0.750 0.750 0.250
0.250 0.250 0.750
0.250 0.750 0.250
0.750 0.250 0.250
0.750 0.750 0.750

***

BaBeIn4 PBEsol optimized geometry; SG = No. 216; E_form = 209 meV/atom; density of states at the Fermi level = 2.97 states/eV/f.u.
1.0
0.000 4.350 4.350
4.350 0.000 4.350
4.350 4.350 0.000
Ba Be In
1 1 4
direct
0.000 0.000 0.000
0.250 0.250 0.250
0.127 0.624 0.624
0.624 0.127 0.624
0.624 0.624 0.127
0.624 0.624 0.624

***

Question: density of states at the Fermi level of number 6 (BaBeIn4)?
Answer: 2.97 states/eV/f.u.

***

Please write out number 1 again, unchanged.
Ba2BeI PBEsol optimized geometry; SG = No. 122; formation energy (no corrections) = -0.124 eV per atom; density of states at the Fermi level = 3.72 states/eV/f.u.
1.0
8.631 0.000 0.000
0.000 8.631 0.000
0.000 0.000 8.929
Ba Be I
8 4 4
direct
0.216 0.250 0.125
0.250 0.716 0.375
0.250 0.784 0.875
0.284 0.250 0.625
0.716 0.750 0.625
0.750 0.216 0.875
0.750 0.284 0.375
0.784 0.750 0.125
0.000 0.000 0.000
0.000 0.500 0.250
0.500 0.000 0.750
0.500 0.500 0.500
0.000 0.000 0.500
0.000 0.500 0.750
0.500 0.000 0.250
0.500 0.500 0.000

***

Question: Look up the density of states at the Fermi level of the second one.
Answer: 3.03 states/eV/f.u.